Material: Be2NiAg
Method: DFT, PBE
State: relaxed

Cell lengths 3.6642, 4.6510, 4.6510 Å; angles 33.83, 90.00, 90.00 degrees
Closest atoms and distances in Å follow each position.
Fractional coordinates of all 4 atoms:
Be: 0.0000 0.0000 0.0000  2 Be 2.22, 2 Ni 2.29, 4 Ag 2.44
Be: 0.5000 0.1399 0.1399  2 Be 2.22, 1 Ag 2.32, 4 Ni 2.35
Ni: 0.0000 0.7069 0.7069  6 Be 2.29-2.35
Ag: 0.5000 0.4006 0.4006  7 Be 2.32-2.52

Values from the calculation:
- Fermi-level density of states (states/eV/atom) = 0.36
- relative energy among the computed polymorphs (meV per atom) = 110
- energy of formation from the pure elements (eV per atom) = -0.03
- E (eV/atom) = -4.05